The following is a PBE-GGA calculation of an optimized crystal structure of CuNi2P, from the Alexandria database.

Results
mass density = 7.7 Mg/m³
SG = P2/m
formation energy from the elements = -162 meV per atom

a = 2.6778 Å, b = 3.6118 Å, c = 4.9037 Å
α = 90.00°, β = 104.37°, γ = 90.00°
Last column: nearest neighbours and their distance in Å.
Sites, in units of the cell vectors:
Cu: 0.0000 0.0000 0.0000  2 P 2.45, 8 Ni 2.56-2.61, 2 Cu 2.68
Ni: 0.3586 0.5000 0.7310  2 P 2.22
Ni: 0.6414 0.5000 0.2690  2 P 2.22
P: 0.0000 0.0000 0.5000  4 Ni 2.22, 2 Cu 2.45